1.
Compound: Y3BiC
Source: Alexandria via LeMat-Bulk
Functional: GGA-PBE
Structure: relaxed

Properties
relative energy among the computed polymorphs = 70.2 meV/atom
theoretical density = 6528 kg/m3
calculated total energy = -7.00 eV/atom
DOS(E_F) = 0.52 states/eV per atom
energy of formation from the pure elements = -2.524 eV per formula unit
symmetry = No. 47

abc: 6.823 7.508 8.369
angles: 90.00 144.64 90.00
Positions (direct):
Y (0.260, 0.500, 0.999)
Y (0.000, 0.750, 0.500)
Y (0.740, 0.000, 0.001)
Y (0.000, 0.250, 0.500)
Bi (0.500, 0.250, 0.500)
Y (0.740, 0.500, 0.001)
Y (0.260, 0.000, 0.999)
C (0.500, 0.250, 0.000)
Bi (0.500, 0.750, 0.500)
C (0.500, 0.750, 0.000)


2.
Compound: Rb2TeHCl6
Source: Alexandria via LeMat-Bulk
Functional: GGA-PBE
Structure: relaxed

Properties
theoretical density = 2821 kg/m3
calculated total energy = -3.02 eV/atom
DOS(E_F) = 0.19 states/eV per atom
symmetry = No. 139

abc: 8.143 8.143 7.337
angles: 56.29 56.29 90.00
Positions (direct):
Rb (0.250, 0.750, 0.500)
Cl (0.222, 0.778, 0.000)
Rb (0.750, 0.250, 0.500)
Cl (0.672, 0.672, 0.657)
Cl (0.328, 0.328, 0.343)
Cl (0.778, 0.778, 0.000)
Cl (0.778, 0.222, 0.000)
Te (0.000, 0.000, 0.000)
H (0.500, 0.500, 0.000)
Cl (0.222, 0.222, 0.000)


3.
Compound: Ac8Pm2Mg
Source: Alexandria via LeMat-Bulk
Functional: GGA-PBE
Structure: relaxed

Properties
theoretical density = 7615 kg/m3
calculated total energy = -3.88 eV/atom
DOS(E_F) = 1.44 states/eV per atom
energy of formation from the pure elements = 1.327 eV per formula unit
symmetry = No. 71

abc: 5.864 9.783 9.902
angles: 119.57 107.22 90.00
Positions (direct):
Ac (0.345, 0.131, 0.691)
Ac (0.858, 0.858, 0.717)
Ac (0.000, 0.683, 0.000)
Ac (0.142, 0.142, 0.283)
Ac (0.655, 0.440, 0.309)
Ac (0.345, 0.560, 0.691)
Ac (0.000, 0.317, 0.000)
Ac (0.655, 0.869, 0.309)
Pm (0.205, 0.705, 0.410)
Pm (0.795, 0.295, 0.590)
Mg (0.500, 0.000, 0.000)


4.
Compound: LaMoRu
Source: Alexandria via LeMat-Bulk
Functional: GGA-PBE
Structure: relaxed

Properties
relative energy among the computed polymorphs = 0.0 meV/atom
theoretical density = 9068 kg/m3
calculated total energy = -8.19 eV/atom
DOS(E_F) = 1.05 states/eV per atom
energy of formation from the pure elements = 0.471 eV per formula unit
symmetry = No. 107

abc: 6.470 6.470 3.184
angles: 75.76 75.75 28.49
Positions (direct):
La (0.000, 0.000, 0.000)
Mo (0.300, 0.300, 0.700)
Ru (0.699, 0.699, 0.301)


5.
Compound: KCa2Pt2
Source: Alexandria via LeMat-Bulk
Functional: GGA-PBE
Structure: relaxed

Properties
theoretical density = 6643 kg/m3
calculated total energy = -4.00 eV/atom
DOS(E_F) = 0.29 states/eV per atom
energy of formation from the pure elements = -2.818 eV per formula unit
symmetry = No. 127

abc: 8.430 8.430 3.584
angles: 90.00 90.00 90.00
Positions (direct):
Ca (0.647, 0.853, 0.500)
Ca (0.147, 0.647, 0.500)
Pt (0.860, 0.640, 0.000)
Pt (0.360, 0.860, 0.000)
Ca (0.353, 0.147, 0.500)
Ca (0.853, 0.353, 0.500)
K (0.500, 0.500, 0.000)
K (0.000, 0.000, 0.000)
Pt (0.640, 0.140, 0.000)
Pt (0.140, 0.360, 0.000)


6.
Compound: Li2MgV
Source: Alexandria via LeMat-Bulk
Functional: GGA-PBE
Structure: relaxed

Properties
theoretical density = 2156 kg/m3
calculated total energy = -3.23 eV/atom
DOS(E_F) = 0.90 states/eV per atom
energy of formation from the pure elements = 1.617 eV per formula unit
symmetry = No. 166

abc: 2.751 2.751 10.597
angles: 82.54 82.54 60.00
Positions (direct):
Li (0.083, 0.083, 0.751)
V (0.000, 0.000, 0.000)
Li (0.917, 0.917, 0.249)
Mg (0.500, 0.500, 0.500)


7.
Compound: Er6Si2Te3S
Source: Alexandria via LeMat-Bulk
Functional: GGA-PBE
Structure: relaxed

Properties
theoretical density = 7882 kg/m3
calculated total energy = -5.59 eV/atom
DOS(E_F) = 0.34 states/eV per atom
symmetry = No. 12
formation energy (no corrections) = -1.2795 eV/atom

abc: 4.137 8.465 9.428
angles: 104.95 102.67 90.00
Positions (direct):
Er (0.674, 0.563, 0.347)
Er (0.010, 0.232, 0.020)
Te (0.836, 0.167, 0.671)
Er (0.340, 0.896, 0.679)
Er (0.326, 0.437, 0.653)
Er (0.660, 0.104, 0.321)
Er (0.990, 0.768, 0.980)
Si (0.834, 0.670, 0.668)
Si (0.166, 0.330, 0.332)
Te (0.164, 0.833, 0.329)
Te (0.500, 0.500, 0.000)
S (0.500, 0.000, 0.000)


8.
Compound: YTe2Ru
Source: Alexandria via LeMat-Bulk
Functional: GGA-PBE
Structure: relaxed

Properties
relative energy among the computed polymorphs = 560.4 meV/atom
theoretical density = 5247 kg/m3
calculated total energy = -5.46 eV/atom
DOS(E_F) = 1.47 states/eV per atom
symmetry = No. 166
formation energy (no corrections) = 0.0450 eV/atom

abc: 9.156 9.156 9.156
angles: 27.14 27.14 27.14
Each line ends with the local moment (μB).
Positions (direct):
Ru (0.000, 0.000, 0.000)  2.43
Te (0.099, 0.099, 0.099)  0.05
Te (0.901, 0.901, 0.901)  0.05
Y (0.500, 0.500, 0.500)  0.05